No. 1
Na3SeI: optimized geometry, GGA-PBE.

Structure (POSCAR):
```
Na3SeI
1.0
5.6692 0.0000 0.0000
0.0000 5.6692 0.0000
0.0000 0.0000 5.6692
Na I Se
3 1 1
Cartesian
0.0000 2.8346 0.0000
0.0000 0.0000 2.8346
2.8346 0.0000 0.0000
0.0000 0.0000 0.0000
2.8346 2.8346 2.8346
```

Results
crystal system	cubic
density	2.50	g cm⁻³
energy above the lowest structure with this stoichiometry	0.450	eV/atom

***

No. 2
Na2SeI: optimized geometry, GGA-PBE.

Structure (POSCAR):
```
Na2SeI
1.0
0.0000 3.8036 3.8036
3.8036 0.0000 3.8036
3.8036 3.8036 0.0000
Se Na I
1 2 1
Cartesian
0.0000 0.0000 0.0000
1.9018 1.9018 1.9018
5.7054 5.7054 5.7054
3.8036 3.8036 3.8036
```

Results
crystal system	cubic
density	3.80	g cm⁻³
energy above the lowest structure with this stoichiometry	0.072	eV/atom

***

No. 3
NaSi2SeI: optimized geometry, GGA-PBE.

Structure (POSCAR):
```
NaSi2SeI
1.0
5.3900 0.0000 0.0000
0.0000 5.7508 0.0000
0.0000 0.0000 5.3900
I Si Se Na
1 2 1 1
Cartesian
0.0000 0.0000 0.0000
2.6950 0.0000 0.0000
0.0000 0.0000 2.6950
0.0000 2.8754 0.0000
2.6950 2.8754 2.6950
```

Results
crystal system	tetragonal
density	2.83	g cm⁻³

***

No. 4
NaSmSeI: optimized geometry, GGA-PBE.

Structure (POSCAR):
```
NaSmSeI
1.0
4.1843 -0.0004 -0.0002
-2.0916 3.6237 -0.0004
-2.0915 -1.2083 7.9692
Se Na Sm I
1 1 1 1
Cartesian
-1.6959 0.9420 6.9432
0.3954 -0.2655 5.3307
-1.6963 3.3586 0.6372
2.4875 0.9431 2.7845
```

Results
crystal system	trigonal
density	5.21	g cm⁻³

***

No. 5
NaSnSe2I: optimized geometry, GGA-PBE.

Structure (POSCAR):
```
NaSnSe2I
1.0
-3.2207 1.2386 4.1236
-2.8089 -6.7137 -0.1773
7.0788 0.8459 5.2746
Se Sn I Na
4 2 2 2
Cartesian
-2.0865 -4.9872 -0.1317
-2.3327 -1.1072 2.0162
-0.7223 -1.7265 -0.0456
-3.6969 -4.3680 1.9301
-1.1678 0.3768 4.2331
2.2170 -5.0060 4.9879
-1.0928 -3.6347 5.4965
2.1421 -0.9945 3.7245
1.6566 -0.8730 6.8144
-0.6074 -3.7562 2.4066
```

Results
crystal system	orthorhombic
density	4.47	g cm⁻³

***

No. 6
NaTbSeI: optimized geometry, GGA-PBE.

Structure (POSCAR):
```
NaTbSeI
1.0
-1.6910 -2.2732 -3.0168
0.6871 -1.6791 3.7196
-6.3141 4.3234 3.1208
I Na Tb Se
1 1 1 1
Cartesian
-3.5318 -1.3079 -0.4079
-4.9725 1.4939 1.1249
-0.0351 -1.5085 3.4603
-5.6775 2.1594 3.8582
```

Results
crystal system	trigonal
density	5.49	g cm⁻³

***

no.,D(E_F) (states/eV/cell),formation energy from raw total energies (eV/atom)
1,0.0,-0.619
2,4.9,-0.727
3,3.7,0.981
4,2.5,-1.309
5,0.5,-0.558
6,2.5,-1.279